[1]
ErGeRh2 GGA-PBE optimized geometry; ΔE_f = -659 meV/atom; DFT total energy = -0.4873 Ry per atom; total moment = 0.00 μB per atom
1.0
3.323 0.000 0.000
0.000 3.323 0.000
0.000 0.000 6.124
Er Ge Rh
1 1 2
Cartesian
0.000 0.000 0.000
0.000 0.000 3.062
1.662 1.662 1.688
1.662 1.662 4.435


[2]
ErGeRuRh GGA-PBE optimized geometry; ΔE_f = -612 meV/atom; DFT total energy = -0.5192 Ry per atom; total moment = 0.00 μB per atom
1.0
0.000 3.196 3.196
3.196 0.000 3.196
3.196 3.196 0.000
Er Ge Ru Rh
1 1 1 1
Cartesian
0.000 0.000 0.000
3.196 3.196 3.196
4.794 4.794 4.794
1.598 1.598 1.598


[3]
ErGe2RuRh GGA-PBE optimized geometry; ΔE_f = -774 meV/atom; DFT total energy = -0.5041 Ry per atom; total moment = 0.00 μB per atom
1.0
-2.098 2.098 5.020
2.098 -2.098 5.020
2.098 2.098 -5.020
Er Ge Ru Rh
1 2 1 1
Cartesian
0.000 0.000 0.000
0.000 0.000 3.763
0.000 0.000 6.278
2.098 0.000 2.510
0.000 2.098 2.510